# 1
NaZr2Ta PBE optimized geometry; ΔH_f (0 K) = 1.08 eV per atom; electronic total energy = -6.4857 eV/atom; polymorph energy (0 for the lowest one) = 722 meV per atom; symmetry = No. 122
1.0
-2.8274 0.6974 3.1177
-1.3815 -4.0208 -0.3535
4.6912 -4.5962 8.2015
Na Zr Ta
2 4 2
Direct
0.5000 0.5000 0.0000
0.2500 0.7500 0.5000
0.6420 0.1250 0.2500
0.1080 0.6250 0.2500
0.3750 0.3580 0.7500
0.8750 0.8920 0.7500
0.0000 0.0000 0.0000
0.7500 0.2500 0.5000



# 2
BaHoTe2O8 PBE optimized geometry; electronic total energy = -6.1299 eV/atom; symmetry = No. 147; raw formation energy = -1.759 eV per atom
1.0
-3.3285 -3.0054 4.0715
3.5759 -3.0417 -3.8275
5.7850 0.4406 5.0546
Ba Ho Te O
1 1 2 8
Direct
0.0000 0.0000 0.0000
0.0000 0.0000 0.5000
0.6667 0.3333 0.2403
0.3333 0.6667 0.7597
0.3333 0.6667 0.9990
0.3172 0.1621 0.3051
0.8379 0.1552 0.3051
0.6667 0.3333 0.0010
0.1621 0.8448 0.6949
0.6828 0.8379 0.6949
0.1552 0.3172 0.6949
0.8448 0.6828 0.3051